Record 1
Material: Sr2PaCuSe5
Method: DFT, PBE
State: optimized geometry

Computed properties:
Formation energy from raw total energies = -1.472 eV per atom

Unit cell a=4.2025 b=9.2572 c=12.9163 alpha=90.00 beta=90.00 gamma=103.12
Fractional positions:
Sr (0.8898, 0.7797, 0.8334)
Sr (0.1083, 0.2166, 0.6883)
Sr (0.1102, 0.2203, 0.3335)
Sr (0.8917, 0.7834, 0.1883)
Pa (0.8016, 0.6031, 0.5197)
Pa (0.1984, 0.3969, 0.0197)
Cu (0.5713, 0.1425, 0.9311)
Cu (0.4287, 0.8575, 0.4311)
Se (0.3525, 0.7050, 0.0126)
Se (0.7014, 0.4029, 0.8705)
Se (0.5016, 0.0032, 0.7706)
Se (0.2956, 0.5912, 0.6676)
Se (0.9505, 0.9010, 0.5302)
Se (0.6475, 0.2950, 0.5126)
Se (0.2986, 0.5971, 0.3705)
Se (0.4984, 0.9968, 0.2706)
Se (0.7044, 0.4088, 0.1676)
Se (0.0495, 0.0990, 0.0302)

Record 2
Material: PaTl2Cu2Se4
Method: DFT, PBE
State: optimized geometry

Computed properties:
Formation energy from raw total energies = -0.694 eV per atom

Unit cell a=4.0523 b=8.1278 c=7.6731 alpha=107.66 beta=105.31 gamma=90.00
Fractional positions:
Pa (0.0000, 0.0000, 0.0000)
Tl (0.1383, 0.5746, 0.2767)
Tl (0.8617, 0.4254, 0.7234)
Cu (0.6823, 0.9900, 0.3646)
Cu (0.3177, 0.0100, 0.6354)
Se (0.1994, 0.1785, 0.3988)
Se (0.8006, 0.8215, 0.6012)
Se (0.5243, 0.7666, 0.0485)
Se (0.4757, 0.2334, 0.9515)

Record 3
Material: Pa2Tl2CuSe6
Method: DFT, PBE
State: optimized geometry

Computed properties:
Formation energy from raw total energies = -0.913 eV per atom

Unit cell a=7.4137 b=7.4137 c=8.1099 alpha=96.86 beta=96.86 gamma=124.77
Fractional positions:
Pa (0.3374, 0.6626, 0.5000)
Pa (0.6626, 0.3374, 0.5000)
Tl (0.8496, 0.1504, 0.0000)
Tl (0.1504, 0.8496, 0.0000)
Cu (0.0000, 0.0000, 0.5000)
Se (0.7585, 0.7585, 0.6655)
Se (0.0548, 0.4401, 0.7142)
Se (0.2415, 0.2415, 0.3345)
Se (0.4401, 0.0548, 0.7142)
Se (0.9452, 0.5599, 0.2858)
Se (0.5599, 0.9452, 0.2858)

Record 4
Material: Pa2CuSi2
Method: DFT, PBE
State: optimized geometry

Computed properties:
Formation energy from raw total energies = -0.446 eV per atom
Excess energy over the best structure of this formula in the dataset = 0 kJ/mol of formula units

Unit cell a=4.0313 b=5.6223 c=9.2693 alpha=86.74 beta=77.44 gamma=68.99
Fractional positions:
Pa (0.7157, 0.2164, 0.3521)
Pa (0.8604, 0.3491, 0.9302)
Pa (0.2843, 0.7836, 0.6479)
Pa (0.1396, 0.6509, 0.0698)
Cu (0.5455, 0.2133, 0.6958)
Cu (0.4545, 0.7867, 0.3042)
Si (0.0275, 0.3502, 0.5948)
Si (0.6125, 0.8978, 0.8773)
Si (0.9725, 0.6498, 0.4052)
Si (0.3875, 0.1022, 0.1227)

Record 5
Material: Pa2CuSi2
Method: DFT, PBE
State: optimized geometry

Computed properties:
Formation energy from raw total energies = -0.263 eV per atom
Excess energy over the best structure of this formula in the dataset = 88 kJ/mol of formula units

Unit cell a=4.3636 b=6.2637 c=7.7980 alpha=90.00 beta=106.25 gamma=90.00
Fractional positions:
Pa (0.9905, 0.7143, 0.9811)
Pa (0.8031, 0.4405, 0.6062)
Pa (0.1969, 0.9405, 0.3938)
Pa (0.0095, 0.2143, 0.0189)
Cu (0.3950, 0.0625, 0.7901)
Cu (0.6050, 0.5625, 0.2099)
Si (0.4304, 0.4510, 0.8607)
Si (0.8288, 0.9661, 0.6577)
Si (0.1712, 0.4661, 0.3423)
Si (0.5696, 0.9510, 0.1393)

Record 6
Material: Pa3Cu2Si6
Method: DFT, PBE
State: optimized geometry

Computed properties:
Formation energy from raw total energies = -0.208 eV per atom

Unit cell a=3.9458 b=3.9458 c=13.6294 alpha=98.32 beta=98.32 gamma=90.00
Fractional positions:
Pa (0.0000, 0.0000, 0.0000)
Pa (0.8236, 0.8236, 0.6473)
Pa (0.1764, 0.1764, 0.3527)
Cu (0.3674, 0.3674, 0.7348)
Cu (0.6326, 0.6326, 0.2652)
Si (0.0825, 0.5825, 0.1650)
Si (0.5825, 0.0825, 0.1650)
Si (0.9175, 0.4175, 0.8350)
Si (0.4175, 0.9175, 0.8350)
Si (0.7188, 0.7188, 0.4375)
Si (0.2812, 0.2812, 0.5625)